Record 1
Below is a geometry-optimized ScPaCSe structure, with properties calculated at the PBE level.

Results
For the total energy, the calculation gives -32.57 eV for the cell shown. For the uncorrected formation energy, the calculation gives -1008.4 meV/atom. The value obtained for the volume is 72.92 Å³ per cell.

Unit cell a=6.935 b=6.935 c=6.935 alpha=29.79 beta=29.79 gamma=29.79
Sites, in units of the cell vectors:
Sc1 0.000 0.000 0.000
Pa1 0.201 0.201 0.201
C1 0.603 0.603 0.603
Se1 0.426 0.426 0.426



Record 2
Below is a geometry-optimized CaNi3H6 structure, with properties calculated at the PBE level.

Results
For the total energy, the calculation gives -41.50 eV for the cell shown. The value obtained for the volume is 76.16 Å³ per cell.

Unit cell a=4.917 b=4.917 c=4.917 alpha=55.94 beta=55.94 gamma=55.94
Sites, in units of the cell vectors:
Ca1 0.000 0.000 0.000
Ni1 0.227 0.227 0.227
Ni2 0.553 0.553 0.553
Ni3 0.761 0.761 0.761
H1 0.143 0.499 0.839
H2 0.474 0.962 0.502
H3 0.499 0.839 0.143
H4 0.502 0.474 0.962
H5 0.839 0.143 0.499
H6 0.962 0.502 0.474



Record 3
Below is a geometry-optimized PbAu2S2 structure, with properties calculated at the PBE level.

Results
For the total energy, the calculation gives -17.82 eV for the cell shown. For the uncorrected formation energy, the calculation gives 139.4 meV/atom. The value obtained for the volume is 110.46 Å³ per cell.

Unit cell a=5.677 b=5.677 c=5.677 alpha=127.97 beta=127.97 gamma=76.68
Sites, in units of the cell vectors:
Pb1 0.000 0.000 0.000
Au1 0.341 0.341 0.000
Au2 0.659 0.659 0.000
S1 0.250 0.750 0.500
S2 0.750 0.250 0.500



Record 4
Below is a geometry-optimized InTc2Rh structure, with properties calculated at the PBE level.

Results
For the total energy, the calculation gives -30.46 eV for the cell shown. The formation enthalpy at 0 K comes out at 91 meV/atom. The value obtained for the volume is 63.39 Å³ per cell.

Unit cell a=9.086 b=9.086 c=9.086 alpha=18.12 beta=18.12 gamma=18.12
Sites, in units of the cell vectors:
In1 0.000 0.000 0.000
Tc1 0.243 0.243 0.243
Tc2 0.500 0.500 0.500
Rh1 0.752 0.752 0.752



Record 5
Below is a geometry-optimized DySN structure, with properties calculated at the PBE level.

Results
For the total energy, the calculation gives -42.49 eV for the cell shown. For the uncorrected formation energy, the calculation gives -1396.3 meV/atom. The value obtained for the volume is 123.86 Å³ per cell.

Unit cell a=6.610 b=6.610 c=3.892 alpha=100.82 beta=100.82 gamma=48.10
Sites, in units of the cell vectors:
Dy1 0.156 0.156 0.196
Dy2 0.844 0.844 0.804
S1 0.325 0.325 0.809
S2 0.675 0.675 0.191
N1 0.033 0.033 0.643
N2 0.967 0.967 0.357



Record 6
Below is a geometry-optimized Rb3CaNb2O8 structure, with properties calculated at the PBE level.

Results
For the total energy, the calculation gives -96.78 eV for the cell shown. For the uncorrected formation energy, the calculation gives -2290.5 meV/atom. The value obtained for the volume is 280.29 Å³ per cell.

Unit cell a=6.316 b=6.316 c=8.114 alpha=90.00 beta=90.00 gamma=120.00
Sites, in units of the cell vectors:
Rb1 0.000 0.000 0.000
Rb2 0.333 0.667 0.674
Rb3 0.667 0.333 0.326
Ca1 0.000 0.000 0.500
Nb1 0.333 0.667 0.239
Nb2 0.667 0.333 0.761
O1 0.173 0.345 0.322
O2 0.173 0.827 0.322
O3 0.333 0.667 0.009
O4 0.345 0.173 0.678
O5 0.655 0.827 0.322
O6 0.667 0.333 0.991
O7 0.827 0.173 0.678
O8 0.827 0.655 0.678



Record 7
Below is a geometry-optimized NaMg2Cr structure, with properties calculated at the PBE level.

Results
For the total energy, the calculation gives -23.11 eV for the cell shown. The formation enthalpy at 0 K comes out at 644 meV/atom. The value obtained for the volume is 201.67 Å³ per cell.

Unit cell a=6.491 b=6.491 c=6.491 alpha=103.19 beta=103.19 gamma=122.93
Sites, in units of the cell vectors:
Na1 0.000 0.000 0.000
Na2 0.750 0.250 0.500
Mg1 0.149 0.625 0.024
Mg2 0.375 0.399 0.524
Mg3 0.601 0.125 0.976
Mg4 0.875 0.851 0.476
Cr1 0.250 0.750 0.500
Cr2 0.500 0.500 0.000



Record 8
Below is a geometry-optimized LuScZnAu structure, with properties calculated at the PBE level.

Results
For the total energy, the calculation gives -17.79 eV for the cell shown. The formation enthalpy at 0 K comes out at -598 meV/atom. The value obtained for the volume is 82.10 Å³ per cell.

Unit cell a=4.879 b=4.879 c=4.879 alpha=60.00 beta=60.00 gamma=60.00
Sites, in units of the cell vectors:
Lu1 0.000 0.000 0.000
Sc1 0.500 0.500 0.500
Zn1 0.250 0.250 0.250
Au1 0.750 0.750 0.750